Computed, not measured: a geometry-optimized NaMn2F6 structure at the PBE+U level of DFT.

a = 5.5191 Å, b = 4.7499 Å, c = 10.6614 Å
α = 90.00°, β = 119.56°, γ = 90.00°
Closest atoms and distances in Å follow each position.
Space group P2_1/c (No. 14)
One atom of each set of equivalent atoms:
Na 0.0000 0.0000 0.0000  6 F 2.20-2.36
Mn 0.3194 0.0087 0.8206  6 F 2.00-2.16
F 0.0144 0.2481 0.8204  2 Mn 2.03-2.11
F 0.3475 0.7062 0.4898  2 Mn 2.01-2.16, 1 Na 2.20
F 0.3814 0.2340 0.1900  2 Mn 2.00-2.06

## Properties
- M_tot: 18.00 Bohr magnetons per cell
- Calculated total energy: -5.63 eV/atom